[1]
Entry from the Alexandria database: an optimized crystal structure of Pm2NpOs2 (GGA-PBE).

Output
Formation energy: -0.087 eV/atom

Cell: 9.9637 5.9503 8.0502 Å, 90.00 100.66 90.00°
Space group C2/c (No. 15)
Symmetry-distinct sites (fractional):
1 Pm 0.1500 0.1315 0.1512 (multiplicity 8)
2 Np 0.0000 0.3726 0.7500 (multiplicity 4)
3 Os 0.1317 0.3670 0.5073 (multiplicity 8)

=====

[2]
Entry from the Alexandria database: an optimized crystal structure of Tb5Sm2Y (GGA-PBE).

Output
Formation energy: 0.015 eV/atom

Cell: 7.1656 14.3283 5.0546 Å, 90.00 90.00 90.00°
Space group Pbam (No. 55)
Symmetry-distinct sites (fractional):
1 Tb 0.0000 0.0000 0.0000 (multiplicity 2)
2 Tb 0.0013 0.2496 0.0000 (multiplicity 4)
3 Tb 0.2484 0.8746 0.5000 (multiplicity 4)
4 Sm 0.2504 0.1252 0.5000 (multiplicity 4)
5 Y 0.0000 0.5000 0.0000 (multiplicity 2)

=====

[3]
Entry from the Alexandria database: an optimized crystal structure of Nd3HgRu (GGA-PBE).

Output
Distance to the lowest polymorph of the same formula: 215 meV/atom
Formation energy: -0.099 eV/atom

Cell: 5.4524 5.4524 5.4524 Å, 90.00 90.00 90.00°
Space group Pm-3m (No. 221)
Symmetry-distinct sites (fractional):
1 Nd 0.0000 0.0000 0.5000 (multiplicity 3)
2 Hg 0.5000 0.5000 0.5000 (multiplicity 1)
3 Ru 0.0000 0.0000 0.0000 (multiplicity 1)

=====

[4]
Entry from the Alexandria database: an optimized crystal structure of NiSe (GGA-PBE).

Output
ΔE_f (raw): 0.56 eV/atom

Cell: 4.6611 4.6611 6.9740 Å, 90.00 90.00 120.00°
Space group P6_3/mmc (No. 194)
Symmetry-distinct sites (fractional):
1 Ni 0.3333 0.6667 0.0787 (multiplicity 4)
2 Se 0.0000 0.0000 0.2500 (multiplicity 2)
3 Se 0.3333 0.6667 0.7500 (multiplicity 2)

=====

[5]
Entry from the Alexandria database: an optimized crystal structure of AgSnTeI2 (GGA-PBE).

Output
ΔE_f (raw): 0.18 eV/atom
Distance to the lowest polymorph of the same formula: 0 meV/atom

Cell: 5.5611 5.5611 5.6588 Å, 90.00 90.00 90.00°
Space group P4/mmm (No. 123)
Symmetry-distinct sites (fractional):
1 Ag 0.0000 0.0000 0.0000 (multiplicity 1)
2 Sn 0.5000 0.5000 0.5000 (multiplicity 1)
3 Te 0.0000 0.0000 0.5000 (multiplicity 1)
4 I 0.0000 0.5000 0.0000 (multiplicity 2)

=====

[6]
Entry from the Alexandria database: an optimized crystal structure of NaTiO2 (GGA-PBE).

Output
ΔE_f (raw): -2.09 eV/atom

Cell: 2.6289 2.6289 5.7424 Å, 90.00 90.00 90.00°
Space group P4/mmm (No. 123)
Symmetry-distinct sites (fractional):
1 Na 0.0000 0.0000 0.0000 (multiplicity 1)
2 Ti 0.0000 0.0000 0.5000 (multiplicity 1)
3 O 0.5000 0.5000 0.2931 (multiplicity 2)

=====

| no. | D(E_F) (states/eV/atom) |
| --- | --- |
| 1 | 1.43 |
| 2 | 1.32 |
| 3 | 1.05 |
| 4 | 1.20 |
| 5 | 0.37 |
| 6 | 0.35 |